Material: AcNb2Se8
Method: DFT, PBE-GGA
State: relaxed

- DFT total energy (eV/atom) = -5.5367

Lattice parameters (Å, degrees): 4.965 7.532 7.532 114.01 93.74 93.74
Positions (direct):
Se1 0.036 0.322 0.056
Se2 0.500 0.250 0.750
Se3 0.964 0.944 0.678
Se4 0.964 0.678 0.944
Se5 0.689 0.419 0.419
Se6 0.311 0.581 0.581
Se7 0.500 0.750 0.250
Se8 0.036 0.056 0.322
Ac1 0.500 0.000 0.000
Nb1 0.000 0.318 0.682
Nb2 0.000 0.682 0.318


Material: Ac2NbSe5
Method: DFT, PBE-GGA
State: relaxed

- DFT total energy (eV/atom) = -5.8150

Lattice parameters (Å, degrees): 7.400 7.400 6.718 123.42 123.42 90.00
Each line ends with the local moment (μB).
Positions (direct):
Se1 0.777 0.777 0.037  0.00
Se2 0.688 0.688 0.375  -0.01
Se3 0.260 0.777 0.037  0.00
Se4 0.777 0.260 0.037  0.00
Se5 0.260 0.260 0.037  0.00
Nb1 0.959 0.959 0.918  0.18
Ac1 0.778 0.278 0.557  0.01
Ac2 0.278 0.778 0.557  0.01


Material: AcNbSe
Method: DFT, PBE-GGA
State: relaxed

- DFT total energy (eV/atom) = -6.5927

Lattice parameters (Å, degrees): 6.118 3.984 35.742 145.71 157.12 48.93
Positions (direct):
Ac1 0.582 0.755 0.213
Ac2 0.418 0.245 0.787
Se1 0.192 0.494 0.857
Se2 0.808 0.506 0.143
Nb1 0.994 0.478 0.443
Nb2 0.006 0.522 0.557


Material: AcNbSi2Tc
Method: DFT, PBE-GGA
State: relaxed

- DFT total energy (eV/atom) = -7.5967

Lattice parameters (Å, degrees): 4.193 4.193 6.454 108.96 108.96 90.00
Positions (direct):
Tc1 0.250 0.750 0.500
Si1 0.619 0.619 0.238
Si2 0.381 0.381 0.762
Ac1 0.000 0.000 0.000
Nb1 0.750 0.250 0.500


Material: Ac2SmNb
Method: DFT, PBE-GGA
State: relaxed

- DFT total energy (eV/atom) = -4.9651
- energy of formation from the pure elements (eV per atom) = 0.786

Lattice parameters (Å, degrees): 3.557 3.557 12.512 81.83 81.83 60.00
Positions (direct):
Nb1 0.000 0.000 0.000
Sm1 0.500 0.500 0.500
Ac1 0.081 0.081 0.756
Ac2 0.919 0.919 0.244


Material: AcSm2Nb
Method: DFT, PBE-GGA
State: relaxed

- DFT total energy (eV/atom) = -5.2029
- energy of formation from the pure elements (eV per atom) = 0.701

Lattice parameters (Å, degrees): 3.462 3.462 12.295 81.91 81.91 60.00
Each line ends with the local moment (μB).
Positions (direct):
Nb1 0.000 0.000 0.000  0.22
Sm1 0.920 0.920 0.239  0.02
Sm2 0.080 0.080 0.761  0.02
Ac1 0.500 0.500 0.500  0.01


Material: AcNbSn
Method: DFT, PBE-GGA
State: relaxed

- DFT total energy (eV/atom) = -5.9686
- energy of formation from the pure elements (eV per atom) = 0.092

Lattice parameters (Å, degrees): 4.302 4.302 12.365 79.98 79.98 60.00
Positions (direct):
Ac1 0.119 0.119 0.642
Ac2 0.881 0.881 0.358
Nb1 0.311 0.311 0.066
Nb2 0.689 0.689 0.934
Sn1 0.608 0.608 0.176
Sn2 0.392 0.392 0.824


Material: SrAc2Nb
Method: DFT, PBE-GGA
State: relaxed

- DFT total energy (eV/atom) = -4.1264
- energy of formation from the pure elements (eV per atom) = 0.866

Lattice parameters (Å, degrees): 3.626 3.626 13.218 82.12 82.12 60.00
Positions (direct):
Ac1 0.923 0.923 0.231
Ac2 0.077 0.077 0.769
Nb1 0.000 0.000 0.000
Sr1 0.500 0.500 0.500


Material: AcTbNb
Method: DFT, PBE-GGA
State: relaxed

- DFT total energy (eV/atom) = -5.9385
- energy of formation from the pure elements (eV per atom) = 0.331

Lattice parameters (Å, degrees): 3.625 3.579 14.261 82.79 90.00 90.00
Positions (direct):
Ac1 0.250 0.147 0.706
Ac2 0.750 0.853 0.294
Nb1 0.250 0.272 0.457
Nb2 0.750 0.728 0.543
Tb1 0.250 0.449 0.101
Tb2 0.750 0.551 0.899


Material: AcNb4Te8
Method: DFT, PBE-GGA
State: relaxed

- DFT total energy (eV/atom) = -5.8661

Lattice parameters (Å, degrees): 7.494 7.494 9.446 90.00 113.37 120.00
Positions (direct):
Ac1 0.000 0.500 0.500
Te1 0.470 0.235 0.217
Te2 0.018 0.765 0.783
Te3 0.530 0.765 0.783
Te4 0.479 0.739 0.218
Te5 0.982 0.235 0.217
Te6 0.018 0.253 0.783
Te7 0.521 0.261 0.782
Te8 0.982 0.747 0.217
Nb1 0.000 0.000 0.000
Nb2 0.500 0.000 0.000
Nb3 0.000 0.500 0.000
Nb4 0.500 0.500 0.000


Material: AcNbTe
Method: DFT, PBE-GGA
State: relaxed

- DFT total energy (eV/atom) = -6.1703

Lattice parameters (Å, degrees): 4.557 5.061 9.171 74.01 75.59 90.01
Positions (direct):
Ac1 0.859 0.859 0.782
Ac2 0.141 0.141 0.218
Nb1 0.500 0.772 0.500
Nb2 0.500 0.228 0.500
Te1 0.656 0.656 0.188
Te2 0.344 0.344 0.812


Material: Ac2NbTe
Method: DFT, PBE-GGA
State: relaxed

- DFT total energy (eV/atom) = -4.9514

Lattice parameters (Å, degrees): 3.953 3.953 11.056 79.70 79.70 60.00
Each line ends with the local moment (μB).
Positions (direct):
Nb1 0.000 0.000 0.000  2.07
Ac1 0.907 0.907 0.280  0.05
Ac2 0.093 0.093 0.720  0.05
Te1 0.500 0.500 0.500  -0.01


Material: AcTh2Nb
Method: DFT, PBE-GGA
State: relaxed

- DFT total energy (eV/atom) = -6.7690
- energy of formation from the pure elements (eV per atom) = 0.485

Lattice parameters (Å, degrees): 3.601 3.601 11.754 81.19 81.19 60.00
Positions (direct):
Th1 0.899 0.899 0.304
Th2 0.101 0.101 0.696
Ac1 0.000 0.000 0.000
Nb1 0.500 0.500 0.500


Material: AcTm2Nb
Method: DFT, PBE-GGA
State: relaxed

- DFT total energy (eV/atom) = -5.0940
- energy of formation from the pure elements (eV per atom) = 0.686

Lattice parameters (Å, degrees): 3.404 3.404 12.043 81.88 81.88 60.00
Each line ends with the local moment (μB).
Positions (direct):
Nb1 0.000 0.000 0.000  0.30
Tm1 0.080 0.080 0.760  0.06
Tm2 0.920 0.920 0.240  0.06
Ac1 0.500 0.500 0.500  -0.01


Material: Ac2TmNb
Method: DFT, PBE-GGA
State: relaxed

- DFT total energy (eV/atom) = -4.9054
- energy of formation from the pure elements (eV per atom) = 0.784

Lattice parameters (Å, degrees): 3.539 3.539 12.328 81.75 81.75 60.00
Positions (direct):
Tm1 0.500 0.500 0.500
Ac1 0.917 0.917 0.249
Ac2 0.083 0.083 0.751
Nb1 0.000 0.000 0.000


Material: AcNb2V
Method: DFT, PBE-GGA
State: relaxed

- DFT total energy (eV/atom) = -7.5931
- energy of formation from the pure elements (eV per atom) = 0.749

Lattice parameters (Å, degrees): 3.196 3.196 10.170 80.96 80.96 60.00
Positions (direct):
Ac1 0.000 0.000 0.000
Nb1 0.104 0.104 0.689
Nb2 0.896 0.896 0.311
V1 0.500 0.500 0.500


Material: Ac2NbZn
Method: DFT, PBE-GGA
State: relaxed

- DFT total energy (eV/atom) = -4.1054
- energy of formation from the pure elements (eV per atom) = 0.785

Lattice parameters (Å, degrees): 3.499 3.499 11.632 81.35 81.35 60.00
Positions (direct):
Ac1 0.911 0.911 0.268
Ac2 0.089 0.089 0.732
Zn1 0.500 0.500 0.500
Nb1 0.000 0.000 0.000


Material: AcZrNb
Method: DFT, PBE-GGA
State: relaxed

- DFT total energy (eV/atom) = -7.1533
- energy of formation from the pure elements (eV per atom) = 0.422

Lattice parameters (Å, degrees): 6.160 5.668 6.430 74.91 61.38 57.09
Positions (direct):
Nb1 0.250 0.500 0.500
Nb2 0.750 0.500 0.500
Zr1 0.677 0.000 0.646
Zr2 0.323 0.000 0.354
Ac1 0.825 0.349 0.000
Ac2 0.175 0.651 0.000


Material: AcZr2Nb
Method: DFT, PBE-GGA
State: relaxed

- DFT total energy (eV/atom) = -7.6278
- energy of formation from the pure elements (eV per atom) = 0.191
- offset from the most stable computed form (meV/atom) = 0.0

Lattice parameters (Å, degrees): 3.582 3.582 8.105 90.00 90.00 90.00
Positions (direct):
Zr1 0.000 0.000 0.192
Zr2 0.000 0.000 0.808
Ac1 0.500 0.500 0.500
Nb1 0.500 0.500 0.000


Material: AcZr2Nb
Method: DFT, PBE-GGA
State: relaxed

- DFT total energy (eV/atom) = -7.3447
- energy of formation from the pure elements (eV per atom) = 0.474
- offset from the most stable computed form (meV/atom) = 283.1

Lattice parameters (Å, degrees): 3.320 3.320 11.281 81.54 81.54 60.00
Each line ends with the local moment (μB).
Positions (direct):
Nb1 0.500 0.500 0.500  0.13
Zr1 0.099 0.099 0.702  0.02
Zr2 0.901 0.901 0.298  0.02
Ac1 0.000 0.000 0.000  0.00


Material: AcNd
Method: DFT, PBE-GGA
State: relaxed

- DFT total energy (eV/atom) = -4.3964
- energy of formation from the pure elements (eV per atom) = 0.042
- offset from the most stable computed form (meV/atom) = 12.0

Lattice parameters (Å, degrees): 5.404 5.415 6.687 113.88 113.83 90.00
Positions (direct):
Nd1 0.875 0.625 0.250
Nd2 0.125 0.375 0.750
Ac1 0.625 0.875 0.750
Ac2 0.375 0.125 0.250


Material: Ac5Nd2
Method: DFT, PBE-GGA
State: relaxed

- DFT total energy (eV/atom) = -4.1605
- energy of formation from the pure elements (eV per atom) = 0.136
- offset from the most stable computed form (meV/atom) = 0.0

Lattice parameters (Å, degrees): 6.259 6.259 9.470 70.70 70.70 60.00
Positions (direct):
Ac1 0.500 0.500 0.500
Ac2 0.230 0.230 0.310
Ac3 0.923 0.923 0.230
Ac4 0.770 0.770 0.690
Ac5 0.077 0.077 0.770
Nd1 0.363 0.363 0.912
Nd2 0.637 0.637 0.088


Material: AcNd6
Method: DFT, PBE-GGA
State: relaxed

- DFT total energy (eV/atom) = -4.5280
- energy of formation from the pure elements (eV per atom) = 0.146
- offset from the most stable computed form (meV/atom) = 0.0

Lattice parameters (Å, degrees): 3.639 9.128 9.128 118.26 97.64 97.64
Positions (direct):
Ac1 0.500 0.000 0.000
Nd1 0.982 0.726 0.565
Nd2 0.417 0.435 0.161
Nd3 0.018 0.274 0.435
Nd4 0.256 0.839 0.274
Nd5 0.583 0.565 0.839
Nd6 0.744 0.161 0.726


Material: Ac6Nd7
Method: DFT, PBE-GGA
State: relaxed

- DFT total energy (eV/atom) = -4.2712
- energy of formation from the pure elements (eV per atom) = 0.192

Lattice parameters (Å, degrees): 6.965 6.965 12.977 74.43 74.43 60.00
Positions (direct):
Nd1 0.586 0.586 0.744
Nd2 0.500 0.500 0.500
Nd3 0.916 0.414 0.256
Nd4 0.084 0.586 0.744
Nd5 0.414 0.414 0.256
Nd6 0.414 0.916 0.256
Nd7 0.586 0.084 0.744
Ac1 0.843 0.843 0.470
Ac2 0.157 0.157 0.530
Ac3 0.334 0.334 0.999
Ac4 0.666 0.666 0.001
Ac5 0.949 0.949 0.153
Ac6 0.051 0.051 0.847


Material: Ac5Nd2
Method: DFT, PBE-GGA
State: relaxed

- DFT total energy (eV/atom) = -4.1003
- energy of formation from the pure elements (eV per atom) = 0.196
- offset from the most stable computed form (meV/atom) = 60.1

Lattice parameters (Å, degrees): 3.753 12.704 12.704 90.00 90.00 90.00
Positions (direct):
Ac1 0.000 0.440 0.298
Ac2 0.000 0.702 0.440
Ac3 0.000 0.060 0.798
Ac4 0.000 0.500 0.000
Ac5 0.000 0.940 0.202
Ac6 0.000 0.202 0.060
Ac7 0.000 0.000 0.500
Ac8 0.000 0.798 0.940
Ac9 0.000 0.298 0.560
Ac10 0.000 0.560 0.702
Nd1 0.500 0.820 0.680
Nd2 0.500 0.320 0.820
Nd3 0.500 0.180 0.320
Nd4 0.500 0.680 0.180


Material: Ac4Nd5
Method: DFT, PBE-GGA
State: relaxed

- DFT total energy (eV/atom) = -4.4429
- energy of formation from the pure elements (eV per atom) = 0.032
- offset from the most stable computed form (meV/atom) = 0.0

Lattice parameters (Å, degrees): 3.846 10.069 10.069 69.71 79.00 79.00
Positions (direct):
Ac1 0.337 0.664 0.662
Ac2 0.337 0.328 0.998
Ac3 0.663 0.338 0.336
Ac4 0.663 0.002 0.672
Nd1 0.337 0.997 0.331
Nd2 0.000 0.992 0.008
Nd3 0.663 0.669 0.003
Nd4 0.000 0.333 0.667
Nd5 0.000 0.675 0.325


Material: Ac4Nd
Method: DFT, PBE-GGA
State: relaxed

- DFT total energy (eV/atom) = -3.7282
- energy of formation from the pure elements (eV per atom) = 0.512
- offset from the most stable computed form (meV/atom) = 480.6

Lattice parameters (Å, degrees): 6.286 6.286 6.286 90.00 90.00 90.00
Positions (direct):
Ac1 0.000 0.000 0.000
Ac2 0.500 0.000 0.500
Ac3 0.500 0.500 0.000
Ac4 0.000 0.500 0.500
Nd1 0.500 0.500 0.500


| no. | total magnetic moment (μB per atom) |
| --- | --- |
| 1 | 0.0000 |
| 2 | 0.0368 |
| 3 | 0.0000 |
| 4 | 0.0000 |
| 5 | 0.0000 |
| 6 | 0.0902 |
| 7 | 0.0000 |
| 8 | 0.0000 |
| 9 | 0.0001 |
| 10 | 0.0000 |
| 11 | 0.0000 |
| 12 | 0.6423 |
| 13 | 0.0000 |
| 14 | 0.1130 |
| 15 | 0.0000 |
| 16 | 0.0000 |
| 17 | 0.0063 |
| 18 | 0.0000 |
| 19 | 0.0000 |
| 20 | 0.0539 |
| 21 | 0.0000 |
| 22 | 0.0001 |
| 23 | 0.0003 |
| 24 | 0.0005 |
| 25 | 0.0000 |
| 26 | 0.0000 |
| 27 | 0.0009 |